Compound: CaHgBr2
Source: the Alexandria database
Functional: GGA-PBE
Structure: optimized geometry

Summary:
SG: P2/m, No. 10
Uncorrected formation energy, eV per formula unit: -5.38
Magnetic moment, μB/f.u.: 0.0
Excess energy over the best structure of this formula in the dataset, meV per atom: 159
Total DFT energy (no corrections), eV/atom: -2.76

Lattice parameters (Å, degrees): 3.6766 3.6762 10.1709 90.00 90.47 90.00
Sites, in units of the cell vectors:
Ca (0.0000, 0.0000, 0.0000)
Hg (0.0000, 0.0000, 0.5000)
Br (0.4990, 0.5000, 0.1658)
Br (0.5010, 0.5000, 0.8342)